No. 1
Here is crystalline V2BiH at its relaxed geometry from Alexandria. Energies are from PBE.

**E_tot**: -5.452 eV/atom

```
data_V2BiH
_cell_length_a 6.318
_cell_length_b 6.318
_cell_length_c 6.318
_cell_angle_alpha 90.00
_cell_angle_beta 90.00
_cell_angle_gamma 90.00
_space_group_name_H-M_alt 'F m -3 m'
_space_group_IT_number 225
_space_group_name_Hall '-F 4 2 3'
loop_
_atom_site_label
_atom_site_type_symbol
_atom_site_fract_x
_atom_site_fract_y
_atom_site_fract_z
_atom_site_occupancy
V1 V 0.250 0.250 0.250 1
Bi1 Bi 0.000 0.000 0.000 1
H1 H 0.000 0.000 0.500 1
```



No. 2
Here is crystalline VBi3H at its relaxed geometry from Alexandria. Energies are from PBE.

**E_tot**: -4.230 eV/atom

```
data_VBi3H
_cell_length_a 4.867
_cell_length_b 4.867
_cell_length_c 4.867
_cell_angle_alpha 90.00
_cell_angle_beta 90.00
_cell_angle_gamma 90.00
_space_group_name_H-M_alt 'P m -3 m'
_space_group_IT_number 221
_space_group_name_Hall '-P 4 2 3'
loop_
_atom_site_label
_atom_site_type_symbol
_atom_site_fract_x
_atom_site_fract_y
_atom_site_fract_z
_atom_site_occupancy
V1 V 0.000 0.000 0.000 1
Bi1 Bi 0.000 0.500 0.500 1
H1 H 0.500 0.500 0.500 1
```



No. 3
Here is crystalline VBiH3 at its relaxed geometry from Alexandria. Energies are from PBE.

**E_tot**: -4.323 eV/atom

```
data_VBiH3
_cell_length_a 3.716
_cell_length_b 3.716
_cell_length_c 3.716
_cell_angle_alpha 90.00
_cell_angle_beta 90.00
_cell_angle_gamma 90.00
_space_group_name_H-M_alt 'P m -3 m'
_space_group_IT_number 221
_space_group_name_Hall '-P 4 2 3'
loop_
_atom_site_label
_atom_site_type_symbol
_atom_site_fract_x
_atom_site_fract_y
_atom_site_fract_z
_atom_site_occupancy
V1 V 0.000 0.000 0.000 1
Bi1 Bi 0.500 0.500 0.500 1
H1 H 0.000 0.000 0.500 1
```



No. 4
Here is crystalline V2BiH at its relaxed geometry from Alexandria. Energies are from PBE.

**E_tot**: -6.116 eV/atom

```
data_V2BiH
_cell_length_a 4.928
_cell_length_b 4.928
_cell_length_c 9.772
_cell_angle_alpha 90.00
_cell_angle_beta 90.00
_cell_angle_gamma 90.00
_space_group_name_H-M_alt 'I 41/a m d'
_space_group_IT_number 141
loop_
_space_group_symop_operation_xyz
'x,y,z'
'-x,-y,-z'
'-y+1/4,x+3/4,z+1/4'
'y+1/4,-x+3/4,-z+1/4'
'-x+1/2,-y,z+1/2'
'x+1/2,y,-z+1/2'
'y+1/4,-x+1/4,z+3/4'
'-y+1/4,x+1/4,-z+3/4'
'x,-y,-z'
'-x,y,z'
'-y+1/4,-x+1/4,-z+3/4'
'y+1/4,x+1/4,z+3/4'
'-x+1/2,y,-z+1/2'
'x+1/2,-y,z+1/2'
'y+1/4,x+3/4,-z+1/4'
'-y+1/4,-x+3/4,z+1/4'
'x+1/2,y+1/2,z+1/2'
'-x+1/2,-y+1/2,-z+1/2'
'-y+3/4,x+1/4,z+3/4'
'y+3/4,-x+1/4,-z+3/4'
'-x,-y+1/2,z'
'x,y+1/2,-z'
'y+3/4,-x+3/4,z+1/4'
'-y+3/4,x+3/4,-z+1/4'
'x+1/2,-y+1/2,-z+1/2'
'-x+1/2,y+1/2,z+1/2'
'-y+3/4,-x+3/4,-z+1/4'
'y+3/4,x+3/4,z+1/4'
'-x,y+1/2,-z'
'x,-y+1/2,z'
'y+3/4,x+1/4,-z+3/4'
'-y+3/4,-x+1/4,z+3/4'
loop_
_atom_site_label
_atom_site_type_symbol
_atom_site_fract_x
_atom_site_fract_y
_atom_site_fract_z
_atom_site_occupancy
V1 V 0.000 0.000 0.000 1
Bi1 Bi 0.000 0.250 0.375 1
H1 H 0.000 0.250 0.875 1
```



No. 5
Here is crystalline Zr2VBiH at its relaxed geometry from Alexandria. Energies are from PBE.

**E_tot**: -6.840 eV/atom

```
data_Zr2VBiH
_cell_length_a 4.591
_cell_length_b 4.591
_cell_length_c 4.001
_cell_angle_alpha 90.00
_cell_angle_beta 90.00
_cell_angle_gamma 90.00
_space_group_name_H-M_alt 'P 4/m m m'
_space_group_IT_number 123
_space_group_name_Hall '-P 4 2'
loop_
_atom_site_label
_atom_site_type_symbol
_atom_site_fract_x
_atom_site_fract_y
_atom_site_fract_z
_atom_site_occupancy
Zr1 Zr 0.000 0.500 0.000 1
V1 V 0.000 0.000 0.500 1
Bi1 Bi 0.500 0.500 0.500 1
H1 H 0.000 0.000 0.000 1
```



No. 6
Here is crystalline Bi2HW at its relaxed geometry from Alexandria. Energies are from PBE.

**E_tot**: -4.917 eV/atom

```
data_Bi2HW
_cell_length_a 6.761
_cell_length_b 6.761
_cell_length_c 7.133
_cell_angle_alpha 90.00
_cell_angle_beta 90.00
_cell_angle_gamma 90.00
_space_group_name_H-M_alt 'I -4 2 d'
_space_group_IT_number 122
_space_group_name_Hall 'I -4 2bw'
loop_
_atom_site_label
_atom_site_type_symbol
_atom_site_fract_x
_atom_site_fract_y
_atom_site_fract_z
_atom_site_occupancy
Bi1 Bi 0.180 0.250 0.125 1
H1 H 0.000 0.000 0.000 1
W1 W 0.000 0.000 0.500 1
```



No. 7
Here is crystalline BiH3W at its relaxed geometry from Alexandria. Energies are from PBE.

**E_tot**: -3.548 eV/atom

```
data_BiH3W
_cell_length_a 3.980
_cell_length_b 3.980
_cell_length_c 3.980
_cell_angle_alpha 90.00
_cell_angle_beta 90.00
_cell_angle_gamma 90.00
_space_group_name_H-M_alt 'P m -3 m'
_space_group_IT_number 221
_space_group_name_Hall '-P 4 2 3'
loop_
_atom_site_label
_atom_site_type_symbol
_atom_site_fract_x
_atom_site_fract_y
_atom_site_fract_z
_atom_site_occupancy
Bi1 Bi 0.000 0.000 0.000 1
H1 H 0.000 0.000 0.500 1
W1 W 0.500 0.500 0.500 1
```



No. 8
Here is crystalline Bi2HW at its relaxed geometry from Alexandria. Energies are from PBE.

**E_tot**: -4.880 eV/atom

```
data_Bi2HW
_cell_length_a 6.888
_cell_length_b 6.888
_cell_length_c 6.888
_cell_angle_alpha 90.00
_cell_angle_beta 90.00
_cell_angle_gamma 90.00
_space_group_name_H-M_alt 'F m -3 m'
_space_group_IT_number 225
_space_group_name_Hall '-F 4 2 3'
loop_
_atom_site_label
_atom_site_type_symbol
_atom_site_fract_x
_atom_site_fract_y
_atom_site_fract_z
_atom_site_occupancy
Bi1 Bi 0.250 0.250 0.250 1
H1 H 0.000 0.000 0.000 1
W1 W 0.000 0.000 0.500 1
```



No. 9
Here is crystalline BiH3W at its relaxed geometry from Alexandria. Energies are from PBE.

**E_tot**: -4.802 eV/atom

```
data_BiH3W
_cell_length_a 3.777
_cell_length_b 3.777
_cell_length_c 3.777
_cell_angle_alpha 90.00
_cell_angle_beta 90.00
_cell_angle_gamma 90.00
_space_group_name_H-M_alt 'P m -3 m'
_space_group_IT_number 221
_space_group_name_Hall '-P 4 2 3'
loop_
_atom_site_label
_atom_site_type_symbol
_atom_site_fract_x
_atom_site_fract_y
_atom_site_fract_z
_atom_site_occupancy
Bi1 Bi 0.000 0.000 0.000 1
H1 H 0.000 0.500 0.500 1
W1 W 0.500 0.500 0.500 1
```



No. 10
Here is crystalline Y4Bi2H at its relaxed geometry from Alexandria. Energies are from PBE.

**E_tot**: -5.913 eV/atom

```
data_Y4Bi2H
_cell_length_a 4.533
_cell_length_b 4.533
_cell_length_c 17.338
_cell_angle_alpha 90.00
_cell_angle_beta 90.00
_cell_angle_gamma 90.00
_space_group_name_H-M_alt 'I 4/m m m'
_space_group_IT_number 139
_space_group_name_Hall '-I 4 2'
loop_
_atom_site_label
_atom_site_type_symbol
_atom_site_fract_x
_atom_site_fract_y
_atom_site_fract_z
_atom_site_occupancy
Y1 Y 0.000 0.000 0.178 1
Y2 Y 0.000 0.500 0.000 1
Bi1 Bi 0.000 0.000 0.362 1
H1 H 0.000 0.000 0.000 1
```



No. 11
Here is crystalline Y3BiH at its relaxed geometry from Alexandria. Energies are from PBE.

**E_tot**: -5.781 eV/atom

```
data_Y3BiH
_cell_length_a 6.625
_cell_length_b 3.980
_cell_length_c 9.627
_cell_angle_alpha 90.00
_cell_angle_beta 101.28
_cell_angle_gamma 90.00
_space_group_name_H-M_alt 'P 1 21/m 1'
_space_group_IT_number 11
loop_
_space_group_symop_operation_xyz
'x,y,z'
'-x,-y,-z'
'-x,y+1/2,-z'
'x,-y+1/2,z'
loop_
_atom_site_label
_atom_site_type_symbol
_atom_site_fract_x
_atom_site_fract_y
_atom_site_fract_z
_atom_site_occupancy
Y1 Y 0.092 0.250 0.379 1
Y2 Y 0.238 0.250 0.909 1
Y3 Y 0.407 0.750 0.645 1
Bi1 Bi 0.277 0.750 0.164 1
H1 H 0.176 0.250 0.648 1
```



No. 12
Here is crystalline Y4Bi3H4 at its relaxed geometry from Alexandria. Energies are from PBE.

**E_tot**: -5.110 eV/atom

```
data_Y4Bi3H4
_cell_length_a 4.194
_cell_length_b 7.697
_cell_length_c 14.018
_cell_angle_alpha 90.00
_cell_angle_beta 90.00
_cell_angle_gamma 90.00
_space_group_name_H-M_alt 'I m m m'
_space_group_IT_number 71
_space_group_name_Hall '-I 2 2'
loop_
_atom_site_label
_atom_site_type_symbol
_atom_site_fract_x
_atom_site_fract_y
_atom_site_fract_z
_atom_site_occupancy
Y1 Y 0.000 0.000 0.213 1
Y2 Y 0.000 0.229 0.500 1
Bi1 Bi 0.000 0.000 0.000 1
Bi2 Bi 0.000 0.500 0.121 1
H1 H 0.000 0.330 0.329 1
```